--- one ---
The following is a PBE calculation of Pm3NdRh after structural relaxation, from Alexandria via LeMat-Bulk.

POSCAR file:
```
Pm3NdRh
1.0
7.4137 0.0000 0.0000
0.0000 8.2417 -0.1891
0.0000 -2.9543 9.9173
Pm Nd Rh
12 4 4
Direct
0.1307 0.0824 0.3888
0.8693 0.9176 0.6112
0.6307 0.9176 0.1112
0.3693 0.0824 0.8888
0.4980 0.7826 0.3761
0.5020 0.2174 0.6239
0.9980 0.2174 0.1239
0.0020 0.7826 0.8761
0.2119 0.5624 0.5222
0.7881 0.4376 0.4778
0.7119 0.4376 0.9778
0.2881 0.5624 0.0222
0.9648 0.6852 0.2614
0.0352 0.3148 0.7386
0.4648 0.3148 0.2386
0.5352 0.6852 0.7614
0.2595 0.9280 0.5973
0.7405 0.0720 0.4027
0.7595 0.0720 0.9027
0.2405 0.9280 0.0973
```

Properties
As for the density of states at the Fermi level: 1.066 states/eV/atom.


--- two ---
The following is a PBE calculation of Pm3NdRh after structural relaxation, from Alexandria via LeMat-Bulk.

POSCAR file:
```
Pm3NdRh
1.0
5.5653 0.0000 0.0000
0.0000 5.5653 0.0000
0.0000 0.0000 5.5653
Rh Nd Pm
1 1 3
Direct
0.0000 0.0000 0.0000
0.5000 0.5000 0.5000
0.0000 0.5000 0.0000
0.0000 0.0000 0.5000
0.5000 0.0000 0.0000
```

Properties
As for the density of states at the Fermi level: 1.559 states/eV/atom.


Energies in eV/atom, measured from the most stable structure: one 0.000; two 0.098.


--- one ---
The following is a PBE calculation of Pm4NdRh2 after structural relaxation, from Alexandria via LeMat-Bulk.

POSCAR file:
```
Pm4NdRh2
1.0
4.0877 0.0000 0.0000
2.0439 3.5401 0.0000
2.0439 1.1800 15.0146
Pm Nd Rh
4 1 2
Direct
0.7003 0.7003 0.8991
0.8984 0.8984 0.3049
0.2997 0.2997 0.1009
0.1016 0.1016 0.6951
0.5000 0.5000 0.5000
0.5994 0.5994 0.2018
0.4006 0.4006 0.7982
```

Properties
As for the density of states at the Fermi level: 1.000 states/eV/atom.


--- two ---
The following is a PBE calculation of Pm4NdRh2 after structural relaxation, from Alexandria via LeMat-Bulk.

POSCAR file:
```
Pm4NdRh2
1.0
-2.8477 0.4648 -5.9744
1.3388 -7.7938 -1.2445
-7.0891 1.5100 3.4965
Pm Nd Rh
8 2 4
Direct
0.5048 0.4101 0.7630
0.2500 0.2521 0.3388
0.7500 0.7479 0.6612
0.9952 0.4101 0.7630
0.7500 0.0153 0.3810
0.0048 0.5899 0.2370
0.4952 0.5899 0.2370
0.2500 0.9847 0.6190
0.2500 0.8465 0.9734
0.7500 0.1535 0.0266
0.2500 0.2488 0.9914
0.7500 0.7512 0.0086
0.7500 0.3697 0.4059
0.2500 0.6303 0.5941
```

Properties
As for the density of states at the Fermi level: 1.202 states/eV/atom.


Energies in eV/atom, measured from the most stable structure: one 0.000; two 0.009.


--- one ---
The following is a PBE calculation of Pm3NdRh3 after structural relaxation, from Alexandria via LeMat-Bulk.

POSCAR file:
```
Pm3NdRh3
1.0
7.1740 0.1642 2.2877
1.7199 6.9667 2.2877
0.2048 0.1642 7.5272
Pm Nd Rh
6 2 6
Direct
0.8243 0.3585 0.1170
0.1170 0.8243 0.3585
0.3585 0.1170 0.8243
0.6415 0.8830 0.1757
0.8830 0.1757 0.6415
0.1757 0.6415 0.8830
0.3248 0.3248 0.3248
0.6752 0.6752 0.6752
0.5601 0.3051 0.9423
0.3051 0.9423 0.5601
0.9423 0.5601 0.3051
0.0577 0.4399 0.6949
0.6949 0.0577 0.4399
0.4399 0.6949 0.0577
```

Properties
As for the density of states at the Fermi level: 0.549 states/eV/atom.


--- two ---
The following is a PBE calculation of Pm3NdRh3 after structural relaxation, from Alexandria via LeMat-Bulk.

POSCAR file:
```
Pm3NdRh3
1.0
-0.1656 -2.5936 6.5491
3.1361 -5.5297 -3.0384
6.3726 2.9780 1.2826
Pm Nd Rh
6 2 6
Direct
0.6717 0.6717 0.3747
0.1812 0.8188 0.5000
0.8188 0.1812 0.5000
0.2451 0.7549 0.0000
0.7549 0.2451 0.0000
0.3283 0.3283 0.6253
0.7473 0.7473 0.8746
0.2527 0.2527 0.1254
0.9393 0.9393 0.1983
0.9998 0.4970 0.7288
0.4970 0.9998 0.7288
0.0002 0.5030 0.2712
0.5030 0.0002 0.2712
0.0607 0.0607 0.8017
```

Properties
As for the density of states at the Fermi level: 0.684 states/eV/atom.


Energies in eV/atom, measured from the most stable structure: one 0.000; two 0.037.


--- one ---
The following is a PBE calculation of PmNdTlRh after structural relaxation, from Alexandria via LeMat-Bulk.

POSCAR file:
```
PmNdTlRh
1.0
-1.2925 -3.3236 0.3854
3.3458 -1.2815 0.1698
-0.0440 0.9434 7.9873
Pm Nd Tl Rh
1 1 1 1
Direct
0.5000 0.5000 0.3593
0.5000 0.5000 0.7839
0.0000 0.0000 0.0740
0.0000 0.0000 0.5675
```

Properties
As for the density of states at the Fermi level: 0.894 states/eV/atom.


--- two ---
The following is a PBE calculation of PmNdTlRh after structural relaxation, from Alexandria via LeMat-Bulk.

POSCAR file:
```
PmNdTlRh
1.0
5.2636 0.0000 0.0000
2.6318 4.5584 0.0000
2.6318 1.5195 4.2977
Rh Tl Nd Pm
1 1 1 1
Direct
0.5000 0.5000 0.5000
0.0000 0.0000 0.0000
0.2500 0.2500 0.2500
0.7500 0.7500 0.7500
```

Properties
As for the density of states at the Fermi level: 0.863 states/eV/atom.


Energies in eV/atom, measured from the most stable structure: one 0.000; two 0.118.


--- one ---
The following is a PBE calculation of PmNdZnRh after structural relaxation, from Alexandria via LeMat-Bulk.

POSCAR file:
```
PmNdZnRh
1.0
-0.0181 4.0114 0.1530
-3.3270 -0.1275 2.9497
3.6259 -2.1447 3.9970
Pm Nd Zn Rh
1 1 1 1
Direct
0.8623 0.5000 0.7247
0.1395 0.0000 0.2790
0.5702 0.5000 0.1403
0.4280 0.0000 0.8559
```

Properties
As for the density of states at the Fermi level: 0.834 states/eV/atom.


--- two ---
The following is a PBE calculation of PmNdZnRh after structural relaxation, from Alexandria via LeMat-Bulk.

POSCAR file:
```
PmNdZnRh
1.0
-4.7955 -0.0259 1.7031
-2.2846 -4.4115 1.1032
-0.9734 -1.2199 4.8438
Rh Zn Nd Pm
1 1 1 1
Direct
0.5000 0.5000 0.5000
0.0000 0.0000 0.0000
0.7500 0.7500 0.7500
0.2500 0.2500 0.2500
```

Properties
As for the density of states at the Fermi level: 0.502 states/eV/atom.


Energies in eV/atom, measured from the most stable structure: one 0.000; two 0.037.


--- one ---
The following is a PBE calculation of PmNd2Ru after structural relaxation, from Alexandria via LeMat-Bulk.

POSCAR file:
```
PmNd2Ru
1.0
-2.4953 0.4183 3.0989
4.4969 -4.3531 1.6297
5.4981 6.9841 3.4845
Pm Nd Ru
2 4 2
Direct
0.9183 0.8364 0.2500
0.0817 0.1636 0.7500
0.3580 0.7154 0.5700
0.6420 0.2846 0.4300
0.3580 0.7154 0.9300
0.6420 0.2846 0.0700
0.7458 0.4918 0.7500
0.2542 0.5082 0.2500
```

Properties
As for the density of states at the Fermi level: 0.966 states/eV/atom.


--- two ---
The following is a PBE calculation of PmNd2Ru after structural relaxation, from Alexandria via LeMat-Bulk.

POSCAR file:
```
PmNd2Ru
1.0
-0.9785 0.4205 3.5826
-3.3994 -1.0504 1.1444
2.2738 -9.9364 3.7369
Ru Nd Pm
1 2 1
Direct
0.5000 0.5000 0.5000
0.1103 0.1103 0.6690
0.8897 0.8897 0.3310
0.0000 0.0000 0.0000
```

Properties
As for the density of states at the Fermi level: 1.562 states/eV/atom.


--- three ---
The following is a PBE calculation of PmNd2Ru after structural relaxation, from Alexandria via LeMat-Bulk.

POSCAR file:
```
PmNd2Ru
1.0
6.4724 0.0000 0.0000
0.0000 7.4110 0.0000
0.0000 0.0000 9.7572
Pm Nd Ru
4 8 4
Direct
0.6451 0.5427 0.2500
0.8549 0.0427 0.2500
0.3549 0.4573 0.7500
0.1451 0.9573 0.7500
0.1705 0.6763 0.0671
0.3295 0.1763 0.4329
0.8295 0.3237 0.5671
0.6705 0.8237 0.9329
0.8295 0.3237 0.9329
0.6705 0.8237 0.5671
0.1705 0.6763 0.4329
0.3295 0.1763 0.0671
0.0507 0.3853 0.2500
0.4493 0.8853 0.2500
0.9493 0.6147 0.7500
0.5507 0.1147 0.7500
```

Properties
As for the density of states at the Fermi level: 0.994 states/eV/atom.


--- four ---
The following is a PBE calculation of PmNd2Ru after structural relaxation, from Alexandria via LeMat-Bulk.

POSCAR file:
```
PmNd2Ru
1.0
-2.2845 1.1933 -2.4130
-2.6639 -0.5471 2.2515
1.0254 8.6816 3.3227
Ru Nd Pm
1 2 1
Direct
0.5000 0.5000 0.0000
0.0000 0.0000 0.8172
0.0000 0.0000 0.1828
0.5000 0.5000 0.5000
```

Properties
As for the density of states at the Fermi level: 1.034 states/eV/atom.


Energies in eV/atom, measured from the most stable structure: one 0.023; two 0.396; three 0.000; four 0.149.


--- one ---
The following is a PBE calculation of Pm2NdRu after structural relaxation, from Alexandria via LeMat-Bulk.

POSCAR file:
```
Pm2NdRu
1.0
3.9772 -0.1598 0.0000
-1.7393 6.2249 0.0000
0.0000 0.0000 9.5140
Pm Nd Ru
4 2 2
Direct
0.1427 0.2859 0.4299
0.8573 0.7141 0.5701
0.8573 0.7141 0.9299
0.1427 0.2859 0.0701
0.4199 0.8393 0.2500
0.5801 0.1607 0.7500
0.7523 0.5041 0.2500
0.2477 0.4959 0.7500
```

Properties
As for the density of states at the Fermi level: 0.964 states/eV/atom.


--- two ---
The following is a PBE calculation of Pm2NdRu after structural relaxation, from Alexandria via LeMat-Bulk.

POSCAR file:
```
Pm2NdRu
1.0
-4.5346 3.1014 -3.4265
0.8166 -4.8909 -5.5076
-6.8236 -5.6003 3.9615
Pm Nd Ru
8 4 4
Direct
0.1699 0.6765 0.0672
0.3301 0.1765 0.4328
0.8301 0.3235 0.5672
0.6699 0.8235 0.9328
0.8301 0.3235 0.9328
0.6699 0.8235 0.5672
0.1699 0.6765 0.4328
0.3301 0.1765 0.0672
0.6426 0.5419 0.2500
0.8574 0.0419 0.2500
0.3574 0.4581 0.7500
0.1426 0.9581 0.7500
0.0539 0.3859 0.2500
0.4461 0.8859 0.2500
0.9461 0.6141 0.7500
0.5539 0.1141 0.7500
```

Properties
As for the density of states at the Fermi level: 0.984 states/eV/atom.


Energies in eV/atom, measured from the most stable structure: one 0.021; two 0.000.


--- one ---
The following is a PBE calculation of Pm2NdRu after structural relaxation, from Alexandria via LeMat-Bulk.

POSCAR file:
```
Pm2NdRu
1.0
-5.5575 -0.4124 0.2259
-2.9364 -0.7121 -4.6880
-2.5271 -4.2562 -1.0884
Ru Nd Pm
1 1 2
Direct
0.0000 0.0000 0.0000
0.5000 0.5000 0.5000
0.2339 0.2339 0.2983
0.7661 0.7661 0.7017
```

Properties
As for the density of states at the Fermi level: 1.729 states/eV/atom.


--- two ---
The following is a PBE calculation of Pm2NdRu after structural relaxation, from Alexandria via LeMat-Bulk.

POSCAR file:
```
Pm2NdRu
1.0
3.5148 0.0000 0.0000
0.0000 3.5148 0.0000
0.0000 0.0000 9.3273
Ru Nd Pm
1 1 2
Direct
0.5000 0.5000 0.0000
0.5000 0.5000 0.5000
0.0000 0.0000 0.8186
0.0000 0.0000 0.1814
```

Properties
As for the density of states at the Fermi level: 0.948 states/eV/atom.


Energies in eV/atom, measured from the most stable structure: one 0.262; two 0.000.


--- one ---
The following is a PBE calculation of PmNdRu after structural relaxation, from Alexandria via LeMat-Bulk.

POSCAR file:
```
PmNdRu
1.0
-0.5623 -0.5720 3.7779
3.4932 -3.2309 0.0308
0.9865 4.5786 0.8400
Ru Nd Pm
1 1 1
Direct
0.0043 0.0000 0.0000
0.7218 0.6667 0.3333
0.2738 0.3333 0.6667
```

Properties
As for the density of states at the Fermi level: 0.865 states/eV/atom.


--- two ---
The following is a PBE calculation of PmNdRu after structural relaxation, from Alexandria via LeMat-Bulk.

POSCAR file:
```
PmNdRu
1.0
4.9107 0.0000 0.0000
2.4554 4.2528 0.0000
2.4554 1.4176 4.0096
Ru Nd Pm
1 1 1
Direct
0.2500 0.2500 0.2500
0.0000 0.0000 0.0000
0.5000 0.5000 0.5000
```

Properties
As for the density of states at the Fermi level: 0.612 states/eV/atom.


Energies in eV/atom, measured from the most stable structure: one 0.144; two 0.000.


--- one ---
The following is a PBE calculation of PmNdRu after structural relaxation, from Alexandria via LeMat-Bulk.

POSCAR file:
```
PmNdRu
1.0
4.1605 0.0000 0.0000
2.0803 6.6646 -0.8092
2.0803 1.3808 5.7697
Pm Nd Ru
2 2 2
Direct
0.4142 0.8700 0.3017
0.5858 0.1300 0.6983
0.8129 0.5933 0.7809
0.1871 0.4067 0.2191
0.1400 0.8571 0.8628
0.8600 0.1429 0.1372
```

Properties
As for the density of states at the Fermi level: 1.104 states/eV/atom.


--- two ---
The following is a PBE calculation of PmNdRu after structural relaxation, from Alexandria via LeMat-Bulk.

POSCAR file:
```
PmNdRu
1.0
3.4905 0.0000 0.0000
0.0000 3.4905 0.0000
-1.7452 -1.7452 6.8241
Ru Nd Pm
1 1 1
Direct
0.6676 0.6676 0.3352
0.0416 0.0416 0.0831
0.2908 0.2908 0.5817
```

Properties
As for the density of states at the Fermi level: 0.718 states/eV/atom.


Energies in eV/atom, measured from the most stable structure: one 0.006; two 0.000.


--- one ---
The following is a PBE calculation of Pm3NdRu after structural relaxation, from Alexandria via LeMat-Bulk.

POSCAR file:
```
Pm3NdRu
1.0
5.5219 0.0000 0.0000
0.0000 5.5219 0.0000
0.0000 0.0000 5.5219
Ru Nd Pm
1 1 3
Direct
0.0000 0.0000 0.0000
0.5000 0.5000 0.5000
0.0000 0.5000 0.0000
0.0000 0.0000 0.5000
0.5000 0.0000 0.0000
```

Properties
As for the density of states at the Fermi level: 1.613 states/eV/atom.


--- two ---
The following is a PBE calculation of Pm3NdRu after structural relaxation, from Alexandria via LeMat-Bulk.

POSCAR file:
```
Pm3NdRu
1.0
6.4029 -0.0001 0.0000
0.0003 6.5765 -0.0011
0.0002 0.0009 7.8010
Pm Nd Ru
6 2 2
Direct
0.4207 0.3353 0.2008
0.4256 0.8542 0.9510
0.9256 0.4986 0.4510
0.9207 0.0175 0.7007
0.9256 0.4986 0.9505
0.4256 0.8542 0.4505
0.4309 0.3327 0.7008
0.9309 0.0200 0.2007
0.1753 0.6771 0.7008
0.6753 0.6756 0.2008
```

Properties
As for the density of states at the Fermi level: 1.247 states/eV/atom.


Energies in eV/atom, measured from the most stable structure: one 0.085; two 0.000.